Computed, not measured: a PBEsol-optimized structure of Ga3Tc at the SCAN level of DFT.

POSCAR file:
```
Ga3Tc
1.0
3.769 0.000 0.000
0.000 3.769 0.000
-1.884 -1.884 4.037
Tc Ga
1 3
Direct
0.000 0.000 0.000
0.250 0.750 0.500
0.750 0.250 0.500
0.500 0.500 0.000
```

Summary:
- crystal system = tetragonal
- volume (Å³/cell) = 57.34
- raw total energy (eV/atom) = -21.105
- space group = I4/mmm, No. 139
- calculated formation energy (eV/atom) = -0.08

=====

Computed, not measured: a PBEsol-optimized structure of TcSbAs2 at the SCAN level of DFT.

POSCAR file:
```
TcSbAs2
1.0
4.395 -0.011 -0.019
-1.497 4.498 -0.014
-1.497 -2.231 3.905
Sb As Tc
1 2 1
Direct
0.500 0.000 0.000
0.000 0.500 0.000
0.000 0.000 0.500
0.500 0.500 0.500
```

Summary:
- crystal system = monoclinic
- volume (Å³/cell) = 76.80
- raw total energy (eV/atom) = -27.707
- formation energy from raw total energies (eV per atom) = 0.47
- space group = C2/m, No. 12

=====

Computed, not measured: a PBEsol-optimized structure of Li4FeP2O8 at the SCAN level of DFT.

POSCAR file:
```
Li4FeP2O8
1.0
-1.135 4.625 -0.840
-4.217 -2.231 -1.923
-2.017 0.068 5.834
Li Fe P O
4 1 2 8
Direct
0.157 0.294 0.520
0.843 0.706 0.480
0.330 0.612 0.200
0.670 0.388 0.800
0.000 0.000 0.000
0.369 0.825 0.731
0.631 0.175 0.269
0.220 0.689 0.915
0.780 0.311 0.085
0.247 0.677 0.507
0.753 0.323 0.493
0.310 0.188 0.240
0.690 0.812 0.760
0.303 0.112 0.751
0.697 0.888 0.249
```

Summary:
- crystal system = triclinic
- volume (Å³/cell) = 150.37
- raw total energy (eV/atom) = -8.975
- formation energy from raw total energies (eV per atom) = -2.42
- space group = P-1, No. 2

=====

Computed, not measured: a PBEsol-optimized structure of InCu2Au2 at the SCAN level of DFT.

POSCAR file:
```
InCu2Au2
1.0
3.051 0.000 0.000
0.000 7.267 0.000
0.000 0.000 7.267
Au Cu In
4 4 2
Direct
0.000 0.362 0.862
0.000 0.862 0.638
0.000 0.638 0.138
0.000 0.138 0.362
0.500 0.158 0.658
0.500 0.658 0.842
0.500 0.842 0.342
0.500 0.342 0.158
0.000 0.000 0.000
0.000 0.500 0.500
```

Summary:
- crystal system = tetragonal
- volume (Å³/cell) = 161.14
- raw total energy (eV/atom) = -40.484
- space group = P4/mbm, No. 127
- calculated formation energy (eV/atom) = -0.06

=====

Computed, not measured: a PBEsol-optimized structure of TaCr2AsO at the SCAN level of DFT.

POSCAR file:
```
TaCr2AsO
1.0
3.697 0.000 0.000
0.000 4.558 0.000
0.000 0.000 4.558
Cr As O Ta
2 1 1 1
Direct
0.000 0.000 0.500
0.000 0.500 0.000
0.000 0.000 0.000
0.500 0.000 0.000
0.500 0.500 0.500
```

Summary:
- crystal system = tetragonal
- volume (Å³/cell) = 76.79
- raw total energy (eV/atom) = -25.222
- formation energy from raw total energies (eV per atom) = 0.73
- space group = P4/mmm, No. 123

=====

Computed, not measured: a PBEsol-optimized structure of LiCuAu at the SCAN level of DFT.

POSCAR file:
```
LiCuAu
1.0
-2.321 -1.386 0.470
2.423 -1.130 0.618
-0.325 2.569 5.973
Au Cu Li
1 1 1
Direct
0.000 0.000 0.003
0.333 0.667 0.658
0.667 0.333 0.339
```

Summary:
- crystal system = trigonal
- volume (Å³/cell) = 42.45
- raw total energy (eV/atom) = -29.050
- space group = P3m1, No. 156
- calculated formation energy (eV/atom) = -0.13
- offset from the most stable computed form (eV per formula unit) = 0.54

=====

Computed, not measured: a PBEsol-optimized structure of ZrZn7 at the SCAN level of DFT.

POSCAR file:
```
ZrZn7
1.0
4.193 0.000 0.000
0.000 4.193 0.000
0.000 0.000 6.772
Zn Zr
7 1
Direct
0.500 0.000 0.767
0.500 0.500 0.000
0.500 0.000 0.233
0.500 0.500 0.500
0.000 0.500 0.767
0.000 0.000 0.000
0.000 0.500 0.233
0.000 0.000 0.500
```

Summary:
- crystal system = tetragonal
- volume (Å³/cell) = 119.07
- raw total energy (eV/atom) = -15.806
- space group = P4/mmm, No. 123
- calculated formation energy (eV/atom) = -0.14
- offset from the most stable computed form (eV per formula unit) = 0.00

=====

Computed, not measured: a PBEsol-optimized structure of CoP2PbCl at the SCAN level of DFT.

POSCAR file:
```
CoP2PbCl
1.0
-1.202 0.888 -4.908
3.824 -3.077 -1.493
-3.255 -4.075 0.060
Pb P Co Cl
1 2 1 1
Direct
0.000 0.000 0.000
0.000 0.500 0.000
0.500 0.000 0.000
0.500 0.500 0.500
0.000 0.000 0.500
```

Summary:
- crystal system = tetragonal
- volume (Å³/cell) = 137.27
- raw total energy (eV/atom) = -23.101
- formation energy from raw total energies (eV per atom) = 1.27
- space group = P4/mmm, No. 123

=====

| no. | calculated density (kg/m³) | total magnetic moment (μB/cell) |
| --- | --- | --- |
| 1 | 8895 | 0.00 |
| 2 | 7992 | 0.00 |
| 3 | 3021 | 4.00 |
| 4 | 13105 | 0.00 |
| 5 | 8127 | 4.07 |
| 6 | 10463 | 0.00 |
| 7 | 7658 | 0.00 |
| 8 | 4397 | 3.78 |